## Sm12YEr7 (PBE)

Data for crystalline Sm12YEr7 at its relaxed geometry.

```
Sm12YEr7
1.0
9.781 5.647 2.051
-9.781 5.647 2.051
0.000 -11.295 2.051
Sm Y Er
12 1 7
direct
0.001 0.414 0.587
0.087 0.088 0.441
0.088 0.441 0.087
0.413 0.999 0.586
0.414 0.587 0.001
0.441 0.087 0.088
0.559 0.913 0.912
0.586 0.413 0.999
0.587 0.001 0.414
0.912 0.559 0.913
0.913 0.912 0.559
0.999 0.586 0.413
0.500 0.500 0.500
0.000 0.000 0.000
0.129 0.374 0.373
0.373 0.129 0.374
0.374 0.373 0.129
0.626 0.627 0.871
0.627 0.871 0.626
0.871 0.626 0.627
```

Calculated values
Spin magnetization in μB per formula unit: 0.0
Energy relative to the lowest polymorph listed for this composition in meV/atom: 0